1.
{"formula": "KRuAu2", "functional": "PBE", "state": "optimized geometry", "lattice_angstrom": [[-0.9060, 0.4886, -2.7044], [-1.3456, -2.5617, -0.0121], [-7.9567, 4.1633, 3.4178]], "species": ["Ru", "Au", "Au", "K"], "frac_coords": [[0.5000, 0.5000, 0.7874], [0.5000, 0.5000, 0.2182], [0.0000, 0.0000, 0.9911], [0.0000, 0.0000, 0.5033]], "formation_enthalpy_0k_ev_per_atom": 0.5314, "relative_energy_mev_per_atom": 213, "mass_density_g_cm3": 11.0, "sg": "P4mm"}

***

2.
{"formula": "SrCr2P", "functional": "PBE", "state": "optimized geometry", "lattice_angstrom": [[4.0689, 0.0048, -0.0005], [2.0406, 3.5203, -0.0005], [1.9368, 1.1175, 5.7214]], "species": ["Cr", "Cr", "P", "Sr"], "frac_coords": [[0.9283, 0.9283, 0.2143], [0.5717, 0.5717, 0.2857], [0.2500, 0.2500, 0.2500], [0.7500, 0.7500, 0.7500]], "formation_enthalpy_0k_ev_per_atom": -0.0665, "mass_density_g_cm3": 4.5, "sg": "C2/m"}

***

Q: Which formula does entry 2 have?
A: SrCr2P